VASP calculation (PBE-GGA) on crystalline B2AsO2 at its relaxed geometry.

Geometry as extended XYZ:
```
10
Lattice="9.791 0.000 0.000 0.000 9.791 0.000 0.000 0.000 2.350" Properties=species:S:1:pos:R:3 pbc="T T T"
B 0.614 4.282 0.000
B 4.282 9.178 0.000
B 5.510 0.614 0.000
B 9.178 5.510 0.000
As 0.000 0.000 1.175
As 4.896 4.896 1.175
O 1.127 3.769 1.175
O 3.769 8.665 1.175
O 6.022 1.127 1.175
O 8.665 6.022 1.175
```

Computed properties:
The calculation puts the formation energy from raw total energies at -1.221 eV per atom. The value obtained for the calculated density is 1895 kg/m3. The calculated total energy comes out at -6.805 eV/atom. The energy above the most stable polymorph in this dataset comes out at 0.00 kcal/mol of atoms.

=====

VASP calculation (PBE-GGA) on crystalline Nd2Er7Sc at its relaxed geometry.

Geometry as extended XYZ:
```
10
Lattice="3.220 -14.241 0.000 3.220 14.241 0.000 0.000 0.000 3.447" Properties=species:S:1:pos:R:3 pbc="T T T"
Nd 3.220 8.333 0.000
Nd 3.220 -8.333 0.000
Er 0.000 0.000 0.000
Er 1.652 2.717 0.000
Er 3.220 5.218 1.723
Er 1.652 -2.717 0.000
Er 4.787 2.717 0.000
Er 3.220 -5.218 1.723
Er 4.787 -2.717 0.000
Sc 3.220 0.000 1.723
```

Computed properties:
The calculated formation energy is 0.172 eV per atom. The value obtained for the calculated density is 7903 kg/m3. The calculated total energy comes out at -4.609 eV/atom.

=====

VASP calculation (PBE-GGA) on crystalline B2C3 at its relaxed geometry.

Geometry as extended XYZ:
```
10
Lattice="1.286 0.742 11.356 -1.286 0.742 11.356 0.000 -1.484 11.356" Properties=species:S:1:pos:R:3 pbc="T T T"
B 0.000 0.000 0.000
B 0.000 0.000 1.701
B 0.000 0.000 14.080
B 0.000 0.000 29.160
C 0.000 0.000 7.092
C 0.000 0.000 8.610
C 0.000 0.000 15.688
C 0.000 0.000 20.507
C 0.000 0.000 22.018
C 0.000 0.000 27.509
```

Computed properties:
The calculated formation energy is 0.414 eV per atom. The value obtained for the calculated density is 2945 kg/m3. The calculated total energy comes out at -7.792 eV/atom. The energy above the most stable polymorph in this dataset comes out at 4.09 kcal/mol of atoms.

=====

VASP calculation (PBE-GGA) on crystalline NdScNi at its relaxed geometry.

Geometry as extended XYZ:
```
3
Lattice="-1.673 1.673 6.015 1.673 -1.673 6.015 1.673 1.673 -6.015" Properties=species:S:1:pos:R:3 pbc="T T T"
Nd 0.000 0.000 0.000
Sc 0.000 0.000 3.231
Ni 0.000 0.000 7.987
```

Computed properties:
The calculated formation energy is -0.202 eV per atom. The value obtained for the calculated density is 6113 kg/m3. The calculated total energy comes out at -5.829 eV/atom. The energy above the most stable polymorph in this dataset comes out at 2.17 kcal/mol of atoms.

=====

Question: Among the records above, which one has the highest calculated total energy?
Answer: Nd2Er7Sc